Here is an optimized crystal structure of NbCdS2 from Alexandria. Energies are from PBE.

Cell and atoms, written as POSCAR:
```
NbCdS2
1.0
5.9433 0.0000 0.0000
0.0000 5.9433 0.0000
2.9716 2.9716 5.5970
Nb S Cd
2 4 2
Direct
0.5000 0.5000 0.0000
0.2500 0.7500 0.5000
0.5936 0.1250 0.2500
0.1564 0.6250 0.2500
0.3750 0.4064 0.7500
0.8750 0.8436 0.7500
0.0000 0.0000 0.0000
0.7500 0.2500 0.5000
```

Computed properties:
Electronic total energy = -20.32 eV/f.u.
Formation energy (no corrections) = -271 meV/atom
Size of the total moment = 0.404 μB per atom

=====

Here is an optimized crystal structure of NbCdS3 from Alexandria. Energies are from PBE.

Cell and atoms, written as POSCAR:
```
NbCdS3
1.0
-2.6396 1.3064 3.8212
-4.0373 -0.7458 -2.5339
-0.0955 -4.5840 1.5013
Nb S Cd
1 3 1
Direct
0.0000 0.0000 0.0000
0.0000 0.5000 0.0000
0.0000 0.0000 0.5000
0.5000 0.0000 0.0000
0.5000 0.5000 0.5000
```

Computed properties:
Electronic total energy = -24.97 eV/f.u.
Formation energy (no corrections) = -320 meV/atom
Size of the total moment = 0.000 μB per atom
Relative energy among the computed polymorphs = 0.0 kJ/mol of atoms

=====

Here is an optimized crystal structure of NbCd3S from Alexandria. Energies are from PBE.

Cell and atoms, written as POSCAR:
```
NbCd3S
1.0
5.0596 0.0000 0.0000
0.0000 5.0596 0.0000
0.0000 0.0000 5.0596
Nb S Cd
1 1 3
Direct
0.5000 0.5000 0.5000
0.0000 0.0000 0.0000
0.0000 0.5000 0.0000
0.0000 0.0000 0.5000
0.5000 0.0000 0.0000
```

Computed properties:
Electronic total energy = -12.28 eV/f.u.
Formation energy (no corrections) = 933 meV/atom
Size of the total moment = 0.638 μB per atom
Relative energy among the computed polymorphs = 0.0 kJ/mol of atoms

=====

Here is an optimized crystal structure of NbCd3S from Alexandria. Energies are from PBE.

Cell and atoms, written as POSCAR:
```
NbCd3S
1.0
-0.0751 -3.4042 4.4095
-3.7064 -3.2616 -2.5812
4.1587 -2.9684 -2.2207
Nb S Cd
1 1 3
Direct
0.0000 0.0000 0.0000
0.5000 0.5000 0.5000
0.0000 0.5000 0.0000
0.0000 0.0000 0.5000
0.5000 0.0000 0.0000
```

Computed properties:
Electronic total energy = -10.81 eV/f.u.
Formation energy (no corrections) = 1227 meV/atom
Size of the total moment = 0.582 μB per atom
Relative energy among the computed polymorphs = 28.4 kJ/mol of atoms

=====

Here is an optimized crystal structure of Nb4CdS8 from Alexandria. Energies are from PBE.

Cell and atoms, written as POSCAR:
```
Nb4CdS8
1.0
-2.4332 -5.7828 -2.4444
6.2961 1.8780 -1.4729
0.5226 -1.3891 7.7094
Nb Cd S
4 1 8
Direct
0.2414 0.2414 0.0000
0.7586 0.7586 0.0000
0.2533 0.7593 0.0126
0.7467 0.2407 0.9874
0.0000 0.5000 0.5000
0.7014 0.0315 0.2230
0.1914 0.5216 0.2230
0.6943 0.5204 0.2147
0.1986 0.0314 0.2300
0.8014 0.9686 0.7700
0.3057 0.4796 0.7853
0.8086 0.4784 0.7770
0.2986 0.9685 0.7770
```

Computed properties:
Electronic total energy = -86.24 eV/f.u.
Formation energy (no corrections) = -925 meV/atom
Size of the total moment = 0.000 μB per atom

=====

Here is an optimized crystal structure of NbCdS2 from Alexandria. Energies are from PBE.

Cell and atoms, written as POSCAR:
```
NbCdS2
1.0
1.9139 0.0000 8.9734
-0.9569 1.6575 8.9734
-0.9569 -1.6575 8.9734
Nb S Cd
1 2 1
Direct
0.5000 0.5000 0.5000
0.8924 0.8924 0.8924
0.1076 0.1076 0.1076
0.0000 0.0000 0.0000
```

Computed properties:
Electronic total energy = -22.22 eV/f.u.
Formation energy (no corrections) = -744 meV/atom
Size of the total moment = 0.000 μB per atom

=====

Here is an optimized crystal structure of NbCdS3 from Alexandria. Energies are from PBE.

Cell and atoms, written as POSCAR:
```
NbCdS3
1.0
4.8530 0.0000 0.0000
0.0000 4.8530 0.0000
0.0000 0.0000 4.8530
Nb S Cd
1 3 1
Direct
0.5000 0.5000 0.5000
0.0000 0.5000 0.0000
0.0000 0.0000 0.5000
0.5000 0.0000 0.0000
0.0000 0.0000 0.0000
```

Computed properties:
Electronic total energy = -19.08 eV/f.u.
Formation energy (no corrections) = 858 meV/atom
Size of the total moment = 0.352 μB per atom
Relative energy among the computed polymorphs = 113.7 kJ/mol of atoms

=====

Here is an optimized crystal structure of Nb2CdS from Alexandria. Energies are from PBE.

Cell and atoms, written as POSCAR:
```
Nb2CdS
1.0
-2.9330 2.9737 1.9446
-0.5589 4.2005 -1.8085
-3.9360 1.0835 -2.1356
Nb S Cd
2 1 1
Direct
0.2500 0.2500 0.2500
0.7500 0.7500 0.7500
0.0000 0.0000 0.0000
0.5000 0.5000 0.5000
```

Computed properties:
Electronic total energy = -24.14 eV/f.u.
Formation energy (no corrections) = 262 meV/atom
Size of the total moment = 0.000 μB per atom
Relative energy among the computed polymorphs = 0.0 kJ/mol of atoms

=====

> Number 1 is which compound?

NbCdS2

=====

> Number 7 is which compound?

NbCdS3

=====

> What is the size of the total moment in the fourth record?

0.582 μB per atom

=====

> What is the size of the total moment in the fourth record?

0.582 μB per atom